Material: VGaSiTc
Method: DFT, GGA-PBE
State: optimized geometry

## Properties
Uncorrected energy ... -28.6 eV per cell
Formation energy (no corrections) ... -0.1732 eV per atom
Space-group type ... No. 216

Structure (CIF):
```
data_VGaSiTc
_chemical_formula_sum 'V1 Ga1 Si1 Tc1'
_space_group_name_H-M_alt 'P 1'
_space_group_IT_number 1
_cell_length_a 4.279
_cell_length_b 4.279
_cell_length_c 4.279
_cell_angle_alpha 60.00
_cell_angle_beta 60.00
_cell_angle_gamma 60.00
loop_
_space_group_symop_operation_xyz
'x,y,z'
loop_
_atom_site_label
_atom_site_type_symbol
_atom_site_fract_x
_atom_site_fract_y
_atom_site_fract_z
_atom_site_occupancy
V1 V 0.000 0.000 0.000 1
Ga1 Ga 0.250 0.250 0.250 1
Si1 Si 0.750 0.750 0.750 1
Tc1 Tc 0.500 0.500 0.500 1
```